(1)
Here is a geometry-optimized SmGa4Ag4 structure from Alexandria. Energies are from GGA-PBE.

Computed properties:
SG: No. 137
Crystal system: tetragonal

extended XYZ file:
```
18
Lattice="6.2325 0.0000 0.0000 0.0000 6.2325 0.0000 0.0000 0.0000 9.1671" Properties=species:S:1:pos:R:3 pbc="T T T"
Sm 1.5581 4.6743 2.2918
Sm 4.6743 1.5581 6.8753
Ga 0.1853 1.5581 0.3870
Ga 1.5581 0.1853 4.9706
Ga 1.5581 2.9309 4.9706
Ga 2.9309 1.5581 0.3870
Ga 3.3015 4.6743 8.7801
Ga 4.6743 3.3015 4.1965
Ga 4.6743 6.0472 4.1965
Ga 6.0472 4.6743 8.7801
Ag 0.1730 1.5581 3.0520
Ag 1.5581 0.1730 7.6355
Ag 1.5581 2.9432 7.6355
Ag 2.9432 1.5581 3.0520
Ag 3.2892 4.6743 6.1151
Ag 4.6743 3.2892 1.5316
Ag 4.6743 6.0594 1.5316
Ag 6.0594 4.6743 6.1151
```


(2)
Here is a geometry-optimized SmGa12Ag4 structure from Alexandria. Energies are from GGA-PBE.

Computed properties:
SG: No. 204
Crystal system: cubic

extended XYZ file:
```
17
Lattice="-4.4876 4.4876 4.4876 4.4876 -4.4876 4.4876 4.4876 4.4876 -4.4876" Properties=species:S:1:pos:R:3 pbc="T T T"
Sm 0.0000 0.0000 0.0000
Ga 3.1815 0.0000 1.3150
Ga 5.7937 0.0000 1.3150
Ga 4.4876 3.1726 -1.3061
Ga 1.3150 3.1815 0.0000
Ga 3.1726 -1.3061 4.4876
Ga 4.4876 3.1726 1.3061
Ga 0.0000 1.3150 3.1815
Ga 1.3150 5.7937 0.0000
Ga 3.1726 1.3061 4.4876
Ga 0.0000 1.3150 5.7937
Ga -1.3061 4.4876 3.1726
Ga 1.3061 4.4876 3.1726
Ag 2.2438 2.2438 -2.2438
Ag 2.2438 -2.2438 2.2438
Ag -2.2438 2.2438 2.2438
Ag 2.2438 2.2438 2.2438
```


(3)
Here is a geometry-optimized Sm6Ga2Ag structure from Alexandria. Energies are from GGA-PBE.

Computed properties:
SG: No. 71
Crystal system: orthorhombic

extended XYZ file:
```
18
Lattice="-4.9035 4.9999 5.2437 4.9035 -4.9999 5.2437 4.9035 4.9999 -5.2437" Properties=species:S:1:pos:R:3 pbc="T T T"
Sm 4.9035 -2.9323 3.4079
Sm 2.9748 0.0000 2.6281
Sm 6.8322 0.0000 2.6281
Sm 3.1766 2.7071 0.0000
Sm 6.6304 2.7071 0.0000
Sm 0.0000 2.0675 1.8359
Sm 4.9035 2.9323 3.4079
Sm -1.7269 2.2928 5.2437
Sm 1.7269 2.2928 5.2437
Sm -1.9287 4.9999 2.6156
Sm 1.9287 4.9999 2.6156
Sm 0.0000 7.9322 1.8359
Ga 1.3908 0.0000 0.0000
Ga 8.4162 0.0000 0.0000
Ga 0.0000 0.0000 3.9623
Ga 0.0000 0.0000 6.5252
Ag 4.9035 0.0000 0.0000
Ag 0.0000 4.9999 0.0000
```


The following VASP energy values (in eV per cell) correspond, in order, to the records above: -59.19 -51.98 -79.96.